Density functional theory data (PBE-GGA) for an optimized crystal structure of LuPuPd4.

Values from the calculation:
The formation energy is -0.66 eV per atom.

The structure in POSCAR format:
```
LuPuPd4
1.0
5.4259 0.0000 0.0000
2.7129 4.6990 0.0000
2.7129 1.5663 4.4302
Pd Pu Lu
4 1 1
Cartesian
5.4259 3.1326 0.5523
4.0682 3.9165 2.7694
6.7836 3.9165 2.7694
5.4259 1.5649 2.7694
2.7129 1.5663 1.1076
0.0000 0.0000 0.0000
```

=====

Density functional theory data (PBE-GGA) for an optimized crystal structure of LuPuPdRh.

Values from the calculation:
The formation energy is -0.65 eV per atom.

The structure in POSCAR format:
```
LuPuPdRh
1.0
-2.3575 4.2482 -0.2031
-4.4299 0.2295 -1.9925
-3.8946 0.7563 2.8119
Lu Pd Rh Pu
1 1 1 1
Cartesian
0.0000 0.0000 0.0000
-8.0115 3.9255 0.4622
-2.6705 1.3085 0.1541
-5.3410 2.6170 0.3081
```

=====

Density functional theory data (PBE-GGA) for an optimized crystal structure of LuPuSbPd.

Values from the calculation:
The value obtained for the uncorrected formation energy is -58.1 kJ per mole of atoms.

The structure in POSCAR format:
```
LuPuSbPd
1.0
5.1311 0.0000 0.0000
2.5655 4.4437 0.0000
2.5655 1.4812 4.1895
Pd Lu Sb Pu
1 1 1 1
Cartesian
0.0000 0.0000 0.0000
2.5655 1.4812 1.0474
5.1311 2.9624 2.0948
7.6966 4.4437 3.1421
```

=====

no.,M_tot (μB per cell)
1,5.31
2,5.38
3,6.18